*a*
Ni2BrCl: relaxed, GGA-PBE.

abc: 4.8540 4.8506 4.7738
angles: 60.57 60.50 58.93
Sites, in units of the cell vectors:
Ni: 0.0000 0.0000 0.5000
Ni: 0.5000 0.5000 0.0000
Br: 0.0000 0.0000 0.0000
Cl: 0.5000 0.5000 0.5000

Results
The value obtained for the calculated density is 4.87 Mg/m³.

---

*b*
Ni2BrCl: relaxed, GGA-PBE.

abc: 4.4878 4.4878 4.4878
angles: 60.00 60.00 60.00
Sites, in units of the cell vectors:
Ni: 0.2500 0.2500 0.2500
Ni: 0.7500 0.7500 0.7500
Br: 0.0000 0.0000 0.0000
Cl: 0.5000 0.5000 0.5000

Results
The value obtained for the calculated density is 6.05 Mg/m³.

---

We find *a* to be the most stable, with the next structure 22.2 kJ/mol of atoms higher.